Here is a relaxed structure of MnCdFe from the Alexandria database. Energies are from PBE.

The structure belongs to space group P-6m2 (No. 187); the cell edges are 4.3110, 4.3110 and 2.7168 Å and the angles 90.00°, 90.00° and 120.00°. The distinct sites, in fractional coordinates, are Mn at (0.0000, 0.0000, 0.0000), Cd at (0.6667, 0.3333, 0.5000) and Fe at (0.3333, 0.6667, 0.0000).

The energy above the most stable polymorph in this dataset is 106 meV/atom. The calculation puts the calculated volume at 44 Å³ per cell.



Here is a relaxed structure of MnCd2Fe from the Alexandria database. Energies are from PBE.

The structure belongs to space group I-4m2 (No. 119); the cell edges are 4.0199, 4.0199 and 8.2603 Å and the angles 90.00°, 90.00° and 90.00°. The distinct sites, in fractional coordinates, are Mn at (0.0000, 0.0000, 0.0000), Cd at (0.0000, 0.0000, 0.5000), Cd at (0.0000, 0.5000, 0.7500) and Fe at (0.0000, 0.5000, 0.2500).

The energy above the most stable polymorph in this dataset is 127 meV/atom. The calculation puts the calculated volume at 133 Å³ per cell.



Here is a relaxed structure of Mn2CdFe from the Alexandria database. Energies are from PBE.

The structure belongs to space group Immm (No. 71); the cell edges are 2.9948, 4.5251 and 8.6517 Å and the angles 90.00°, 90.00° and 90.00°. The distinct sites, in fractional coordinates, are Mn at (0.0000, 0.0000, 0.2296), Cd at (0.0000, 0.5000, 0.0000) and Fe at (0.0000, 0.5000, 0.5000).

For the total energy, the calculation gives -26.03 eV per formula unit. The calculation puts the calculated volume at 117 Å³ per cell.



Here is a relaxed structure of MnCd2Fe from the Alexandria database. Energies are from PBE.

The structure belongs to space group P4/mmm (No. 123); the cell edges are 4.0729, 4.0729 and 4.0129 Å and the angles 90.00°, 90.00° and 90.00°. The distinct sites, in fractional coordinates, are Mn at (0.0000, 0.0000, 0.0000), Cd at (0.0000, 0.5000, 0.5000) and Fe at (0.5000, 0.5000, 0.0000).

The energy above the most stable polymorph in this dataset is 78 meV/atom. The calculation puts the calculated volume at 67 Å³ per cell.



Here is a relaxed structure of MnCd2Fe from the Alexandria database. Energies are from PBE.

The structure belongs to space group I4/mmm (No. 139); the cell edges are 4.0601, 4.0601 and 8.0597 Å and the angles 90.00°, 90.00° and 90.00°. The distinct sites, in fractional coordinates, are Mn at (0.0000, 0.0000, 0.0000), Cd at (0.0000, 0.5000, 0.2500) and Fe at (0.0000, 0.0000, 0.5000).

The energy above the most stable polymorph in this dataset is 80 meV/atom. The calculation puts the calculated volume at 133 Å³ per cell.



Here is a relaxed structure of MnCd2Fe from the Alexandria database. Energies are from PBE.

The structure belongs to space group Fm-3m (No. 225); the cell edges are 6.2520, 6.2520 and 6.2520 Å and the angles 90.00°, 90.00° and 90.00°. The distinct sites, in fractional coordinates, are Mn at (0.0000, 0.0000, 0.0000), Cd at (0.2500, 0.2500, 0.2500) and Fe at (0.0000, 0.0000, 0.5000).

The energy above the most stable polymorph in this dataset is 616 meV/atom. The calculation puts the calculated volume at 244 Å³ per cell.



Here is a relaxed structure of Mn2CdFe from the Alexandria database. Energies are from PBE.

The structure belongs to space group R-3m (No. 166, hexagonal axes); the cell edges are 2.8153, 2.8153 and 25.6756 Å and the angles 90.00°, 90.00° and 120.00°. The distinct sites, in fractional coordinates, are Mn at (0.0000, 0.0000, 0.2384), Cd at (0.0000, 0.0000, 0.0000) and Fe at (0.0000, 0.0000, 0.5000).

For the total energy, the calculation gives -26.14 eV per formula unit. The calculation puts the calculated volume at 176 Å³ per cell.



Here is a relaxed structure of Mn2CdFe from the Alexandria database. Energies are from PBE.

The structure belongs to space group Cmmm (No. 65); the cell edges are 5.7172, 7.5032 and 2.8290 Å and the angles 90.00°, 90.00° and 90.00°. The distinct sites, in fractional coordinates, are Mn at (0.2500, 0.2500, 0.0000), Cd at (0.0000, 0.0000, 0.5000) and Fe at (0.0000, 0.5000, 0.5000).

For the total energy, the calculation gives -26.03 eV per formula unit. The calculation puts the calculated volume at 121 Å³ per cell.